Entry 1:
Material: SrTe2N2
Method: DFT, GGA-PBE
State: optimized geometry

Lattice parameters (Å, degrees): 4.4029 4.4029 6.0248 90.00 90.00 90.00
Fractional positions:
Sr 0.0000 0.0000 0.0000
Te 0.5000 0.5000 0.0000
Te 0.5000 0.5000 0.5000
N 0.0000 0.5000 0.5000
N 0.5000 0.0000 0.5000

## Properties
**Fermi-level density of states**: 3.58 states/eV/cell
**Space group**: P4/mmm
**Calculated total energy**: -4.236 eV per atom
**Formation energy from raw total energies**: 0.687 eV/atom
**Crystal system**: tetragonal

Entry 2:
Material: Sr3TeN
Method: DFT, GGA-PBE
State: optimized geometry

Lattice parameters (Å, degrees): 5.2401 5.2401 5.2401 90.00 90.00 90.00
Fractional positions:
Sr 0.0000 0.0000 0.5000
Sr 0.0000 0.5000 0.0000
Sr 0.5000 0.0000 0.0000
Te 0.5000 0.5000 0.5000
N 0.0000 0.0000 0.0000

## Properties
**Fermi-level density of states**: 2.05 states/eV/cell
**Space group**: Pm-3m
**Calculated total energy**: -4.206 eV per atom
**Formation energy from raw total energies**: -0.903 eV/atom
**Crystal system**: cubic

Entry 3:
Material: SrTe2N2
Method: DFT, GGA-PBE
State: optimized geometry

Lattice parameters (Å, degrees): 6.6369 6.6369 5.0204 90.00 90.00 90.00
Fractional positions:
Sr 0.0000 0.0000 0.0000
Te 0.0000 0.5000 0.0000
Te 0.5000 0.0000 0.0000
N 0.0000 0.0000 0.5000
N 0.5000 0.5000 0.5000

## Properties
**Fermi-level density of states**: 2.83 states/eV/cell
**Space group**: P4/mmm
**Calculated total energy**: -3.139 eV per atom
**Formation energy from raw total energies**: 1.784 eV/atom
**Crystal system**: tetragonal

Entry 4:
Material: Sr2TeN
Method: DFT, GGA-PBE
State: optimized geometry

Lattice parameters (Å, degrees): 5.3333 5.3333 5.3333 60.00 60.00 60.00
Fractional positions:
Sr 0.2500 0.2500 0.2500
Sr 0.7500 0.7500 0.7500
Te 0.0000 0.0000 0.0000
N 0.5000 0.5000 0.5000

## Properties
**Fermi-level density of states**: 3.43 states/eV/cell
**Space group**: Fm-3m
**Calculated total energy**: -4.033 eV per atom
**Formation energy from raw total energies**: -0.325 eV/atom
**Crystal system**: cubic

- What is the calculated total energy in the fourth record?
  -4.033 eV per atom

Copy entry 4 word for word.
Material: Sr2TeN
Method: DFT, GGA-PBE
State: optimized geometry

Lattice parameters (Å, degrees): 5.3333 5.3333 5.3333 60.00 60.00 60.00
Fractional positions:
Sr 0.2500 0.2500 0.2500
Sr 0.7500 0.7500 0.7500
Te 0.0000 0.0000 0.0000
N 0.5000 0.5000 0.5000

## Properties
**Fermi-level density of states**: 3.43 states/eV/cell
**Space group**: Fm-3m
**Calculated total energy**: -4.033 eV per atom
**Formation energy from raw total energies**: -0.325 eV/atom
**Crystal system**: cubic